NaMgV2F (PBE with a Hubbard U, relaxed); electronic total energy = -2.69 eV/atom; magnetization = 8.108 μB/f.u.
1.0
-4.502 -1.711 -2.021
2.241 -4.811 -0.918
-1.514 -1.609 4.733
Na Mg F V
1 1 1 2
direct
0.000 0.000 0.000
0.000 0.500 0.000
0.500 0.500 0.500
0.000 0.000 0.500
0.500 0.000 0.000